# HWI2N

A relaxed HWI2N crystal (PBE, Alexandria).

DOS(E_F) = 4.12 states/eV/cell
magnetization = 0.504 μB per atom
raw total energy = -3.76 eV per atom

Unit cell a=5.1744 b=5.1744 c=3.0985 alpha=90.00 beta=90.00 gamma=90.00
Last column: nearest neighbours and their distance in Å.
Space group P4/mmm (No. 123)
Inequivalent atoms, fractional coordinates:
H (0.0000, 0.0000, 0.0000) [1 per cell]  2 N 1.55
W (0.5000, 0.5000, 0.5000) [1 per cell]  8 I 3.02, 2 W 3.10
I (0.0000, 0.5000, 0.0000) [2 per cell]  2 H 2.59
N (0.0000, 0.0000, 0.5000) [1 per cell]  2 H 1.55

---

# CdHgPd

A relaxed CdHgPd crystal (PBE, Alexandria).

DOS(E_F) = 4.18 states/eV/cell
energy of formation = -22.1 kJ per mole of atoms
magnetization = 0.000 μB per atom
raw total energy = -2.37 eV per atom

Unit cell a=6.0105 b=6.6692 c=6.7910 alpha=90.00 beta=90.00 gamma=90.00
Last column: nearest neighbours and their distance in Å.
Space group Ima2 (No. 46)
Inequivalent atoms, fractional coordinates:
Cd (0.2500, 0.2496, 0.0000) [4 per cell]  4 Pd 2.81, 2 Hg 3.01
Hg (0.2500, 0.7497, 0.0006) [4 per cell]  4 Pd 2.81, 2 Cd 3.01
Pd (0.0000, 0.0000, 0.2503) [4 per cell]  4 Hg 2.81, 4 Cd 2.81, 2 Pd 3.01